Entry from Alexandria via LeMat-Bulk: CrFe2Rh after structural relaxation (GGA-PBEsol).

a = 2.5374 Å, b = 3.4503 Å, c = 5.0962 Å
α = 90.00°, β = 90.00°, γ = 90.00°
Last column: nearest neighbours and their distance in Å.
Space group Pmm2 (No. 25)
One atom of each set of equivalent atoms:
Cr  0.0000  0.0000  0.0000 x1  5 Fe 2.27-2.47, 2 Cr 2.54
Fe  0.0000  0.0000  0.4449 x1  1 Cr 2.27, 6 Fe 2.38-2.54
Fe  0.5000  0.5000  0.2410 x1  6 Fe 2.38-2.54, 4 Cr 2.47, 2 Rh 2.48-2.62
Rh  0.5000  0.5000  0.7274 x1  6 Fe 2.48-2.62, 2 Rh 2.54, 4 Cr 2.55

Size of the total moment (μB per formula unit): 0.43
Formation energy from the elements (eV per atom): 0.05

Entry from Alexandria via LeMat-Bulk: CrFeRh after structural relaxation (GGA-PBEsol).

a = 3.9906 Å, b = 3.9906 Å, c = 2.5525 Å
α = 90.00°, β = 90.00°, γ = 120.00°
Last column: nearest neighbours and their distance in Å.
Space group P-6m2 (No. 187)
One atom of each set of equivalent atoms:
Cr  0.0000  0.0000  0.0000 x1  3 Fe 2.30, 2 Cr 2.55
Fe  0.6667  0.3333  0.0000 x1  3 Cr 2.30, 2 Fe 2.55
Rh  0.3333  0.6667  0.5000 x1  2 Rh 2.55, 6 Cr 2.63, 6 Fe 2.63

Size of the total moment (μB per formula unit): 0.98
Formation energy from the elements (eV per atom): 0.03

Entry from Alexandria via LeMat-Bulk: CrFe4Rh after structural relaxation (GGA-PBEsol).

a = 6.4977 Å, b = 6.4977 Å, c = 6.4977 Å
α = 90.00°, β = 90.00°, γ = 90.00°
Last column: nearest neighbours and their distance in Å.
Space group F-43m (No. 216)
One atom of each set of equivalent atoms:
Cr  0.0000  0.0000  0.0000 x4  12 Fe 2.69, 4 Rh 2.81
Fe  0.1248  0.1248  0.3752 x16  6 Fe 2.29-2.30
Rh  0.2500  0.2500  0.7500 x4  12 Fe 2.69, 4 Cr 2.81

Size of the total moment (μB per formula unit): 5.45
Formation energy from the elements (eV per atom): 0.05

Entry from Alexandria via LeMat-Bulk: Cr2FeRh after structural relaxation (GGA-PBEsol).

a = 3.5704 Å, b = 3.5704 Å, c = 7.2170 Å
α = 90.00°, β = 90.00°, γ = 90.00°
Last column: nearest neighbours and their distance in Å.
Space group I-4m2 (No. 119)
One atom of each set of equivalent atoms:
Cr  0.0000  0.0000  0.0000 x2  4 Fe 2.52, 4 Cr 2.54, 4 Rh 2.54
Cr  0.0000  0.5000  0.2500 x2  4 Rh 2.52, 4 Cr 2.54, 4 Fe 2.54
Fe  0.0000  0.0000  0.5000 x2  8 Cr 2.52-2.54, 4 Rh 2.54
Rh  0.0000  0.5000  0.7500 x2  8 Cr 2.52-2.54, 4 Fe 2.54

Size of the total moment (μB per formula unit): 0.02
Formation energy from the elements (eV per atom): 0.09

Entry from Alexandria via LeMat-Bulk: CrFe2Rh after structural relaxation (GGA-PBEsol).

a = 3.5893 Å, b = 3.5893 Å, c = 7.2590 Å
α = 90.00°, β = 90.00°, γ = 90.00°
Last column: nearest neighbours and their distance in Å.
Space group I-4m2 (No. 119)
One atom of each set of equivalent atoms:
Cr  0.0000  0.0000  0.0000 x2  8 Fe 2.54-2.55, 4 Rh 2.55
Fe  0.0000  0.0000  0.5000 x2  4 Cr 2.54, 4 Fe 2.55, 4 Rh 2.55
Fe  0.0000  0.5000  0.7500 x2  4 Rh 2.54, 4 Cr 2.55, 4 Fe 2.55
Rh  0.0000  0.5000  0.2500 x2  8 Fe 2.54-2.55, 4 Cr 2.55

Size of the total moment (μB per formula unit): 2.65
Formation energy from the elements (eV per atom): 0.02

Entry from Alexandria via LeMat-Bulk: CrFeRh after structural relaxation (GGA-PBEsol).

a = 2.5682 Å, b = 3.5682 Å, c = 7.7646 Å
α = 90.00°, β = 90.00°, γ = 90.00°
Last column: nearest neighbours and their distance in Å.
Space group Imm2 (No. 44)
One atom of each set of equivalent atoms:
Cr  0.0000  0.0000  0.0000 x2  5 Fe 2.52-2.64, 5 Rh 2.56-2.57, 2 Cr 2.57
Fe  0.0000  0.0000  0.6599 x2  5 Cr 2.52-2.64, 5 Rh 2.55-2.57, 2 Fe 2.57
Rh  0.0000  0.0000  0.3309 x2  5 Fe 2.55-2.57, 5 Cr 2.56-2.57, 2 Rh 2.57

Size of the total moment (μB per formula unit): 1.50
Formation energy from the elements (eV per atom): 0.04

Entry from Alexandria via LeMat-Bulk: Cr2FeRu after structural relaxation (GGA-PBEsol).

a = 2.8474 Å, b = 4.1404 Å, c = 8.0072 Å
α = 90.00°, β = 90.00°, γ = 90.00°
Last column: nearest neighbours and their distance in Å.
Space group Cmm2 (No. 35)
One atom of each set of equivalent atoms:
Cr  0.0000  0.0000  0.0000 x2  6 Cr 2.36-2.51, 2 Fe 2.40
Cr  0.0000  0.5000  0.2352 x2  6 Cr 2.36-2.51, 2 Ru 2.52
Fe  0.0000  0.5000  0.7588 x2  2 Cr 2.40, 4 Fe 2.51, 2 Ru 2.55
Ru  0.0000  0.0000  0.4946 x2  4 Ru 2.51, 2 Cr 2.52, 2 Fe 2.55

Size of the total moment (μB per formula unit): 2.31
Formation energy from the elements (eV per atom): 0.21

Entry from Alexandria via LeMat-Bulk: CrFeRu2 after structural relaxation (GGA-PBEsol).

a = 3.9309 Å, b = 2.6110 Å, c = 9.3644 Å
α = 90.00°, β = 90.00°, γ = 90.00°
Last column: nearest neighbours and their distance in Å.
Space group Amm2 (No. 38)
One atom of each set of equivalent atoms:
Cr  0.0000  0.0000  0.0000 x2  2 Fe 2.26, 3 Ru 2.52
Fe  0.5000  0.0000  0.8819 x2  2 Cr 2.26, 1 Ru 2.50
Ru  0.0000  0.0000  0.2695 x2  3 Cr 2.52, 4 Fe 2.58, 6 Ru 2.61-2.77
Ru  0.5000  0.0000  0.6146 x2  3 Fe 2.50-2.54, 4 Cr 2.59, 6 Ru 2.61-2.77

Size of the total moment (μB per formula unit): 0.00
Formation energy from the elements (eV per atom): 0.06

Entry from Alexandria via LeMat-Bulk: Cr2FeRu after structural relaxation (GGA-PBEsol).

a = 5.7264 Å, b = 5.7264 Å, c = 5.7264 Å
α = 90.00°, β = 90.00°, γ = 90.00°
Last column: nearest neighbours and their distance in Å.
Space group Fm-3m (No. 225)
One atom of each set of equivalent atoms:
Cr  0.2500  0.2500  0.2500 x8  4 Fe 2.48, 4 Ru 2.48
Fe  0.0000  0.0000  0.0000 x4  8 Cr 2.48
Ru  0.0000  0.0000  0.5000 x4  8 Cr 2.48

Size of the total moment (μB per formula unit): 3.45
Formation energy from the elements (eV per atom): 0.21

Entry from Alexandria via LeMat-Bulk: CrFe3Ru after structural relaxation (GGA-PBEsol).

a = 4.0506 Å, b = 4.0506 Å, c = 4.0506 Å
α = 90.00°, β = 90.00°, γ = 90.00°
Last column: nearest neighbours and their distance in Å.
Space group Pm-3m (No. 221)
One atom of each set of equivalent atoms:
Cr  0.0000  0.0000  0.0000 x1  6 Fe 2.03
Fe  0.0000  0.0000  0.5000 x3  2 Cr 2.03
Ru  0.5000  0.5000  0.5000 x1  12 Fe 2.86

Size of the total moment (μB per formula unit): 5.13
Formation energy from the elements (eV per atom): 1.33

Entry from Alexandria via LeMat-Bulk: CrFeSb2 after structural relaxation (GGA-PBEsol).

a = 3.1685 Å, b = 3.1685 Å, c = 6.2293 Å
α = 90.00°, β = 90.00°, γ = 90.00°
Last column: nearest neighbours and their distance in Å.
Space group P4/mmm (No. 123)
One atom of each set of equivalent atoms:
Cr  0.0000  0.0000  0.0000 x1  8 Sb 2.73
Fe  0.0000  0.0000  0.5000 x1  8 Sb 2.73
Sb  0.5000  0.5000  0.2509 x2  4 Fe 2.73, 4 Cr 2.73

Size of the total moment (μB per formula unit): 1.56
DFT total energy (eV per atom): -6.699

Entry from Alexandria via LeMat-Bulk: CrFeSb2 after structural relaxation (GGA-PBEsol).

a = 3.8953 Å, b = 3.8953 Å, c = 9.2897 Å
α = 90.00°, β = 90.00°, γ = 90.00°
Last column: nearest neighbours and their distance in Å.
Space group I-4m2 (No. 119)
One atom of each set of equivalent atoms:
Cr  0.0000  0.0000  0.0000 x2  8 Sb 2.75-3.03, 4 Fe 3.03
Fe  0.0000  0.5000  0.2500 x2  8 Sb 2.75-3.03, 4 Cr 3.03
Sb  0.0000  0.0000  0.5000 x2  4 Cr 2.75, 4 Fe 3.03, 4 Sb 3.03
Sb  0.0000  0.5000  0.7500 x2  4 Fe 2.75, 4 Cr 3.03, 4 Sb 3.03

Size of the total moment (μB per formula unit): 5.27
DFT total energy (eV per atom): -6.586